(1)
VASP calculation (PBE) on a relaxed ZnCuIr2 crystal.

- ΔE_f (eV/atom) = 0.0782
- total moment (μB per cell) = 0.0

Lattice parameters (Å, degrees): 5.132 5.132 5.132 147.80 129.21 61.42
Element x y z (fractional)
Ir: 0.750 0.250 0.500
Ir: 0.001 0.001 0.000
Cu: 0.255 0.755 0.500
Zn: 0.495 0.495 0.000

(2)
VASP calculation (PBE) on a relaxed La5Pm3Tm2 crystal.

- ΔE_f (eV/atom) = 0.1474
- total moment (μB per cell) = 0.0

Lattice parameters (Å, degrees): 10.196 10.220 9.290 108.56 108.44 114.99
Element x y z (fractional)
Pm: 0.532 0.473 0.251
Pm: 0.781 0.222 0.749
Pm: 0.269 0.019 0.038
Pm: 0.468 0.527 0.749
Pm: 0.219 0.778 0.251
Pm: 0.731 0.981 0.962
Tm: 0.974 0.033 0.755
Tm: 0.719 0.278 0.245
Tm: 0.281 0.722 0.755
Tm: 0.026 0.967 0.245
La: 0.773 0.523 0.046
La: 0.227 0.477 0.954
La: 0.473 0.223 0.447
La: 0.527 0.777 0.553
La: 0.020 0.270 0.539
La: 0.980 0.730 0.461
La: 0.125 0.365 0.244
La: 0.875 0.635 0.756
La: 0.620 0.880 0.244
La: 0.380 0.120 0.756

(3)
VASP calculation (PBE) on a relaxed Bi4PdAu crystal.

- ΔE_f (eV/atom) = -0.1138
- E above lowest polymorph (meV/atom) = 0.0
- total moment (μB per cell) = 0.0

Lattice parameters (Å, degrees): 6.928 6.928 6.932 90.00 90.10 90.00
Element x y z (fractional)
Bi: 0.624 0.126 0.863
Bi: 0.124 0.374 0.863
Bi: 0.365 0.367 0.379
Bi: 0.376 0.874 0.137
Bi: 0.876 0.626 0.137
Bi: 0.865 0.133 0.379
Bi: 0.635 0.633 0.621
Bi: 0.135 0.867 0.621
Pd: 0.500 0.000 0.500
Pd: 0.000 0.500 0.500
Au: 0.500 0.500 0.000
Au: 0.000 0.000 0.000

(4)
VASP calculation (PBE) on a relaxed TlBi2Pb7 crystal.

- ΔE_f (eV/atom) = 0.1663
- total moment (μB per cell) = 0.0

Lattice parameters (Å, degrees): 4.334 10.255 10.255 125.15 90.00 90.00
Element x y z (fractional)
Pb: 0.500 0.307 0.104
Pb: 0.500 0.693 0.896
Pb: 0.500 0.104 0.307
Pb: 0.000 0.810 0.190
Pb: 0.000 0.190 0.810
Pb: 0.500 0.896 0.693
Pb: 0.500 0.500 0.500
Tl: 0.000 0.000 0.000
Bi: 0.500 0.315 0.685
Bi: 0.500 0.685 0.315

(5)
VASP calculation (PBE) on a relaxed KNa2PS4 crystal.

- formation energy from raw total energies (meV per atom) = -466
- total moment (μB per cell) = 0.0

Lattice parameters (Å, degrees): 8.029 8.029 8.098 115.91 115.91 89.33
Element x y z (fractional)
Na: 0.500 0.000 0.000
Na: 0.500 0.000 0.500
Na: 0.500 0.500 0.000
Na: 0.000 0.000 0.500
S: 0.643 0.657 0.414
S: 0.843 0.857 0.086
S: 0.210 0.837 0.044
S: 0.663 0.290 0.456
S: 0.357 0.343 0.586
S: 0.157 0.143 0.914
S: 0.337 0.710 0.544
S: 0.790 0.163 0.956
K: 0.000 0.500 0.500
K: 0.000 0.500 0.000
P: 0.500 0.500 0.500
P: 0.000 0.000 0.000

(6)
VASP calculation (PBE) on a relaxed CaAcRe2O8 crystal.

- formation energy from raw total energies (meV per atom) = -2020
- total moment (μB per cell) = 3.0

Lattice parameters (Å, degrees): 6.054 6.054 7.126 90.00 90.00 120.00
Element x y z (fractional)
O: 0.669 0.835 0.751
O: 0.165 0.835 0.751
O: 0.667 0.333 0.918
O: 0.333 0.667 0.082
O: 0.835 0.165 0.249
O: 0.165 0.331 0.751
O: 0.331 0.165 0.249
O: 0.835 0.669 0.249
Ca: 0.000 0.000 0.000
Ac: 0.000 0.000 0.500
Re: 0.667 0.333 0.166
Re: 0.333 0.667 0.834

(7)
VASP calculation (PBE) on a relaxed InAgCl2 crystal.

- formation energy from raw total energies (meV per atom) = -595
- total moment (μB per cell) = 0.0

Lattice parameters (Å, degrees): 7.478 7.478 7.478 32.41 32.41 32.41
Element x y z (fractional)
Cl: 0.486 0.486 0.486
Cl: 0.014 0.014 0.014
Ag: 0.750 0.750 0.750
In: 0.250 0.250 0.250

(8)
VASP calculation (PBE) on a relaxed Hf4MoN4 crystal.

- formation energy from raw total energies (meV per atom) = -1458
- total moment (μB per cell) = 0.0

Lattice parameters (Å, degrees): 4.538 5.462 5.462 80.02 65.46 65.46
Element x y z (fractional)
Hf: 0.800 0.803 0.597
Hf: 0.603 0.597 0.196
Hf: 0.397 0.403 0.804
Hf: 0.200 0.197 0.403
N: 0.100 0.595 0.204
N: 0.695 0.205 0.405
N: 0.900 0.405 0.796
N: 0.305 0.795 0.595
Mo: 0.000 0.000 0.000

(9)
VASP calculation (PBE) on a relaxed Sr3ScGa crystal.

- ΔE_f (eV/atom) = 0.7603
- E above lowest polymorph (meV/atom) = 467.6
- total moment (μB per cell) = 2.5

Lattice parameters (Å, degrees): 6.311 6.311 6.311 90.00 90.00 90.00
Element x y z (fractional)
Ga: 0.500 0.500 0.500
Sr: 0.500 0.000 0.000
Sr: 0.000 0.500 0.000
Sr: 0.000 0.000 0.500
Sc: 0.000 0.000 0.000

(10)
VASP calculation (PBE) on a relaxed PmDyPt crystal.

- ΔE_f (eV/atom) = -0.6565
- E above lowest polymorph (meV/atom) = 228.4
- total moment (μB per cell) = 0.0

Lattice parameters (Å, degrees): 4.243 4.669 4.669 120.00 90.00 90.00
Element x y z (fractional)
Pm: 0.278 0.333 0.667
Pt: 0.966 0.000 0.000
Dy: 0.756 0.667 0.333

(11)
VASP calculation (PBE) on a relaxed InTcIr2 crystal.

- ΔE_f (eV/atom) = 0.0969
- total moment (μB per cell) = 0.0

Lattice parameters (Å, degrees): 2.844 2.844 7.859 90.00 90.00 90.00
Element x y z (fractional)
Ir: 0.500 0.500 0.258
Ir: 0.000 0.000 0.012
In: 0.500 0.500 0.752
Tc: 0.000 0.000 0.478

(12)
VASP calculation (PBE) on a relaxed Ca2CeSiN4 crystal.

- formation energy from raw total energies (meV per atom) = -790
- total moment (μB per cell) = 0.0

Lattice parameters (Å, degrees): 3.147 6.061 6.228 112.19 90.00 90.00
Element x y z (fractional)
Si: 0.000 0.000 0.000
Ce: 0.500 0.500 0.000
Ca: 0.000 0.500 0.500
Ca: 0.500 0.000 0.500
N: 0.500 0.812 0.814
N: 0.500 0.188 0.186
N: 0.000 0.279 0.744
N: 0.000 0.721 0.256

(13)
VASP calculation (PBE) on a relaxed LiBiAs2Br crystal.

- E above lowest polymorph (meV/atom) = 0.0
- formation energy from raw total energies (meV per atom) = 257
- total moment (μB per cell) = 0.0

Lattice parameters (Å, degrees): 4.831 4.831 4.875 90.00 90.00 90.00
Element x y z (fractional)
Br: 0.000 0.000 0.500
Bi: 0.500 0.500 0.500
As: 0.500 0.000 0.000
As: 0.000 0.500 0.000
Li: 0.000 0.000 0.000

(14)
VASP calculation (PBE) on a relaxed MgPCl3 crystal.

- E above lowest polymorph (meV/atom) = 148.0
- formation energy from raw total energies (meV per atom) = -424
- total moment (μB per cell) = 2.0

Lattice parameters (Å, degrees): 4.930 4.930 4.930 90.00 90.00 90.00
Element x y z (fractional)
Mg: 0.000 0.000 0.000
Cl: 0.000 0.000 0.500
Cl: 0.000 0.500 0.000
Cl: 0.500 0.000 0.000
P: 0.500 0.500 0.500

(15)
VASP calculation (PBE) on a relaxed DyEr2Pt crystal.

- ΔE_f (eV/atom) = -0.6105
- E above lowest polymorph (meV/atom) = 122.5
- total moment (μB per cell) = 0.0

Lattice parameters (Å, degrees): 3.543 3.543 8.348 90.00 90.00 90.00
Element x y z (fractional)
Er: 0.000 0.000 0.805
Er: 0.000 0.000 0.195
Dy: 0.500 0.500 0.500
Pt: 0.500 0.500 0.000

(16)
VASP calculation (PBE) on a relaxed KNi2Ag crystal.

- ΔE_f (eV/atom) = 0.8828
- E above lowest polymorph (meV/atom) = 472.6
- total moment (μB per cell) = 0.9

Lattice parameters (Å, degrees): 5.005 5.005 5.005 129.71 129.71 73.87
Element x y z (fractional)
Ni: 0.250 0.750 0.500
Ni: 0.000 0.000 0.000
K: 0.750 0.250 0.500
Ag: 0.500 0.500 0.000

(17)
VASP calculation (PBE) on a relaxed PaCuSnOs crystal.

- ΔE_f (eV/atom) = -0.0530
- total moment (μB per cell) = 0.0

Lattice parameters (Å, degrees): 4.766 4.766 4.766 60.00 60.00 60.00
Element x y z (fractional)
Cu: 0.000 0.000 0.000
Os: 0.500 0.500 0.500
Pa: 0.750 0.750 0.750
Sn: 0.250 0.250 0.250

(18)
VASP calculation (PBE) on a relaxed YHfMg crystal.

- ΔE_f (eV/atom) = 0.0515
- E above lowest polymorph (meV/atom) = 0.0
- total moment (μB per cell) = 0.0

Lattice parameters (Å, degrees): 3.348 3.348 7.213 103.42 103.42 90.00
Element x y z (fractional)
Mg: 0.676 0.676 0.351
Hf: 0.331 0.331 0.661
Y: 0.994 0.994 0.988

(19)
VASP calculation (PBE) on a relaxed Sm8TePb2 crystal.

- formation energy from raw total energies (meV per atom) = -419
- total moment (μB per cell) = 0.0

Lattice parameters (Å, degrees): 5.307 7.107 9.678 87.11 105.91 90.00
Element x y z (fractional)
Pb: 0.834 0.177 0.668
Pb: 0.166 0.823 0.332
Sm: 0.025 0.245 0.050
Sm: 0.975 0.755 0.950
Sm: 0.786 0.625 0.572
Sm: 0.214 0.375 0.428
Sm: 0.407 0.437 0.814
Sm: 0.337 0.922 0.674
Sm: 0.593 0.563 0.186
Sm: 0.663 0.078 0.326
Te: 0.500 0.000 0.000

(20)
VASP calculation (PBE) on a relaxed AcUPa2N6 crystal.

- formation energy from raw total energies (meV per atom) = -1484
- total moment (μB per cell) = 1.0

Lattice parameters (Å, degrees): 6.097 6.097 6.168 60.38 60.38 60.00
Element x y z (fractional)
N: 0.707 0.182 0.754
N: 0.182 0.357 0.754
N: 0.626 0.248 0.213
N: 0.912 0.626 0.213
N: 0.357 0.707 0.754
N: 0.248 0.912 0.213
Ac: 0.777 0.777 0.670
Pa: 0.016 0.016 0.952
Pa: 0.525 0.525 0.424
U: 0.311 0.311 0.067